<one>
Crystalline AgIrPd2 at its relaxed geometry, computed with PBE.

Results
Calculated density   12.4 g cm⁻³

Unit cell a=3.857 b=3.857 c=18.429 alpha=90.00 beta=90.00 gamma=90.00
Space group I-42d (No. 122)
Unique sites:
Ag  0.000  0.000  0.000
Ir  0.000  0.000  0.500
Pd  0.237  0.250  0.625

<two>
Crystalline AgIrPd2 at its relaxed geometry, computed with PBE.

Results
Calculated density   13.6 g cm⁻³

Unit cell a=2.7983 b=2.7983 c=27.6298 alpha=90.00 beta=90.00 gamma=120.00
Space group R-3m (No. 166, hexagonal axes)
Unique sites:
Ag  0.0000  0.0000  0.0000
Ir  0.0000  0.0000  0.5000
Pd  0.0000  0.0000  0.2466

<three>
Crystalline AgIrPd2 at its relaxed geometry, computed with PBE.

Results
Calculated density   13.5 g cm⁻³

Unit cell a=6.327 b=6.327 c=6.327 alpha=90.00 beta=90.00 gamma=90.00
Space group Fm-3m (No. 225)
Unique sites:
Ag  0.000  0.000  0.000
Ir  0.000  0.000  0.500
Pd  0.250  0.250  0.250

<four>
Crystalline AgIrPd2 at its relaxed geometry, computed with PBE.

Results
Calculated density   13.6 g cm⁻³

Unit cell a=2.803 b=2.803 c=7.991 alpha=90.00 beta=90.00 gamma=90.00
Space group P4/mmm (No. 123)
Unique sites:
Ag  0.000  0.000  0.000
Ir  0.000  0.000  0.500
Pd  0.500  0.500  0.265

Going by the energies, <two> is most stable and the next is 26 meV per atom up.

<one>
Crystalline AgSbIr2Pd at its relaxed geometry, computed with PBE.

Results
Calculated density   10.6 g cm⁻³

Unit cell a=4.803 b=4.803 c=4.904 alpha=90.00 beta=90.00 gamma=90.00
Space group P4/mmm (No. 123)
Unique sites:
Ag  0.000  0.000  0.000
Sb  0.500  0.500  0.000
Ir  0.000  0.500  0.500
Pd  0.000  0.000  0.500

<two>
Crystalline AgSbIr2Pd at its relaxed geometry, computed with PBE.

Results
Calculated density   10.2 g cm⁻³

Unit cell a=4.876 b=4.876 c=4.929 alpha=90.00 beta=90.00 gamma=90.00
Space group P4/mmm (No. 123)
Unique sites:
Ag  0.000  0.000  0.000
Sb  0.000  0.000  0.500
Ir  0.000  0.500  0.000
Pd  0.500  0.500  0.500

Going by the energies, <one> is most stable and the next is 479 meV per atom up.

<one>
Crystalline Pm3AgIr at its relaxed geometry, computed with PBE.

Results
Calculated density   8.9 g cm⁻³

Unit cell a=8.859 b=6.833 c=10.324 alpha=90.00 beta=118.24 gamma=90.00
Space group P2_1/c (No. 14)
Unique sites:
Pm  0.126  0.041  0.318
Pm  0.239  0.506  0.541
Pm  0.314  0.505  0.207
Ag  0.493  0.707  0.993
Ir  0.016  0.211  0.535

<two>
Crystalline Pm3AgIr at its relaxed geometry, computed with PBE.

Results
Calculated density   8.8 g cm⁻³

Unit cell a=21.028 b=3.912 c=6.782 alpha=90.00 beta=94.16 gamma=90.00
Space group C2/m (No. 12)
Unique sites:
Pm  0.011  0.000  0.245
Pm  0.127  0.500  0.598
Pm  0.171  0.000  0.070
Ag  0.240  0.000  0.649
Ir  0.074  0.500  0.982

Going by the energies, <one> is most stable and the next is 9 meV per atom up.

<one>
Crystalline Pm3Ag2Ir at its relaxed geometry, computed with PBE.

Results
Calculated density   8.4 g cm⁻³

Unit cell a=14.189 b=5.958 c=8.259 alpha=90.00 beta=106.89 gamma=90.00
Space group C2/c (No. 15)
Unique sites:
Pm  0.000  0.000  0.250
Pm  0.141  0.499  0.070
Ag  0.181  0.001  0.590
Ir  0.000  0.500  0.250

<two>
Crystalline Pm3Ag2Ir at its relaxed geometry, computed with PBE.

Results
Calculated density   9.5 g cm⁻³

Unit cell a=5.113 b=15.255 c=7.548 alpha=90.00 beta=90.00 gamma=90.00
Space group Cmmm (No. 65)
Unique sites:
Pm  0.000  0.000  0.236
Pm  0.000  0.326  0.229
Ag  0.000  0.168  0.500
Ag  0.000  0.500  0.000
Ag  0.000  0.500  0.500
Ir  0.000  0.159  0.000

Going by the energies, <two> is most stable and the next is 107 meV per atom up.